# 1
A crystal of Cr2SiOs relaxed with PBEsol, computed with SCAN.

a b c (Å): 2.6707 2.6707 24.0446
angles (deg): 90.00 90.00 120.00
Fractional positions:
Cr 0.0000 0.0000 0.0000
Cr 0.0000 0.0000 0.2522
Cr 0.3333 0.6667 0.6667
Cr 0.3333 0.6667 0.9188
Cr 0.6667 0.3333 0.3333
Cr 0.6667 0.3333 0.5855
Si 0.0000 0.0000 0.5055
Si 0.3333 0.6667 0.1722
Si 0.6667 0.3333 0.8389
Os 0.0000 0.0000 0.7511
Os 0.3333 0.6667 0.4178
Os 0.6667 0.3333 0.0844

=====

# 2
A crystal of CoSiNi2 relaxed with PBEsol, computed with SCAN.

a b c (Å): 3.5534 3.5534 6.5475
angles (deg): 90.00 90.00 90.00
Fractional positions:
Co 0.0000 0.0000 0.0000
Co 0.5000 0.5000 0.5000
Si 0.0000 0.5000 0.7500
Si 0.5000 0.0000 0.2500
Ni 0.0000 0.0000 0.5000
Ni 0.0000 0.5000 0.2500
Ni 0.5000 0.0000 0.7500
Ni 0.5000 0.5000 0.0000

=====

# 3
A crystal of YSbTeW2 relaxed with PBEsol, computed with SCAN.

a b c (Å): 4.8863 4.8863 5.4024
angles (deg): 90.00 90.00 90.00
Fractional positions:
Y 0.0000 0.0000 0.0000
Sb 0.0000 0.0000 0.5000
Te 0.5000 0.5000 0.5000
W 0.0000 0.5000 0.0000
W 0.5000 0.0000 0.0000

=====

Here are the calculated DFT total energy numbers, same order: -118.07; -60.93; -228.69 (eV per formula unit).
Here are the calculated energy relative to the elements, uncorrected numbers, same order: 0.148; -0.317; 2.609 (eV per atom).